The following is a DFT calculation (PBE+U) of a relaxed structure of GeSbW2F.

Unit cell a=4.658 b=4.658 c=5.062 alpha=90.00 beta=90.00 gamma=90.00
Space group P4/mmm (No. 123)
Unique sites:
Ge  0.000  0.000  0.000
Sb  0.500  0.500  0.000
W  0.000  0.500  0.500
F  0.000  0.000  0.500

Calculated values
- E (eV per atom) = -4.24
- density of states at the Fermi level (states/eV/cell) = 3.0
- calculated volume (Å³/atom) = 22.0
- crystal system = tetragonal